MgSI3 (PBEsol, optimized geometry); E_tot = -10.74 eV per formula unit; formation energy without anion corrections = 0.13 eV per atom; spin magnetization = 2.92 Bohr magnetons per cell; space-group type = Pm-3m, No. 221; mass density = 4.13 g cm⁻³
1.0
5.600 0.000 0.000
0.000 5.600 0.000
0.000 0.000 5.600
I S Mg
3 1 1
Direct
0.000 0.500 0.000
0.500 0.000 0.000
0.000 0.000 0.500
0.500 0.500 0.500
0.000 0.000 0.000

=====

MgS3I (PBEsol, optimized geometry); E_tot = -15.23 eV per formula unit; formation energy without anion corrections = 0.28 eV per atom; spin magnetization = 0.00 Bohr magnetons per cell; space-group type = Pm-3m, No. 221; mass density = 3.81 g cm⁻³
1.0
4.761 0.000 0.000
0.000 4.761 0.000
0.000 0.000 4.761
Mg I S
1 1 3
Direct
0.000 0.000 0.000
0.500 0.500 0.500
0.000 0.500 0.000
0.000 0.000 0.500
0.500 0.000 0.000

=====

Mg3SI (PBEsol, optimized geometry); E_tot = -8.12 eV per formula unit; formation energy without anion corrections = 0.64 eV per atom; spin magnetization = 0.00 Bohr magnetons per cell; space-group type = Pm-3m, No. 221; mass density = 2.25 g cm⁻³
1.0
5.554 0.000 0.000
0.000 5.554 0.000
0.000 0.000 5.554
Mg I S
3 1 1
Direct
0.500 0.000 0.000
0.000 0.000 0.500
0.000 0.500 0.000
0.000 0.000 0.000
0.500 0.500 0.500

=====

MgTeSI2 (PBEsol, optimized geometry); E_tot = -11.45 eV per formula unit; formation energy without anion corrections = 0.34 eV per atom; spin magnetization = 0.89 Bohr magnetons per cell; space-group type = P4/mmm, No. 123; mass density = 4.48 g cm⁻³
1.0
5.360 0.000 0.000
0.000 5.360 0.000
0.000 0.000 5.648
I Te S Mg
2 1 1 1
Direct
0.000 0.500 0.000
0.500 0.000 0.000
0.000 0.000 0.500
0.500 0.500 0.500
0.000 0.000 0.000